# PBE with a Hubbard U CrIr2BrF, optimized geometry
# * crystal system: tetragonal
# * spin magnetization: 2.13 μB/f.u.
# * E_tot: -4.932 eV per atom
data_CrIr2BrF
_chemical_formula_sum 'Cr1 Ir2 Br1 F1'
_space_group_name_H-M_alt 'P 4/m m m'
_space_group_IT_number 123
_space_group_name_Hall '-P 4 2'
_cell_length_a 4.884
_cell_length_b 4.884
_cell_length_c 3.743
_cell_angle_alpha 90.00
_cell_angle_beta 90.00
_cell_angle_gamma 90.00
loop_
_atom_site_label
_atom_site_type_symbol
_atom_site_fract_x
_atom_site_fract_y
_atom_site_fract_z
_atom_site_occupancy
Cr1 Cr 0.000 0.000 0.000 1
Ir1 Ir 0.000 0.500 0.000 1
Br1 Br 0.500 0.500 0.500 1
F1 F 0.000 0.000 0.500 1